a | {"formula": "Tb5PmTm5", "functional": "PBE", "state": "optimized geometry", "lattice_angstrom": [[-3.6392, -0.0294, 4.5985], [-1.6015, -8.3187, -5.0599], [5.4086, -0.7075, 4.2758]], "species": ["Tb", "Tb", "Tb", "Tb", "Tb", "Pm", "Tm", "Tm", "Tm", "Tm", "Tm"], "fractional_positions": [[0.8209, 0.6419, 0.0668], [0.8211, 0.6422, 0.5760], [0.5000, 0.0000, 0.0000], [0.1789, 0.3578, 0.4240], [0.1791, 0.3581, 0.9332], [0.0000, 0.0000, 0.0000], [0.6693, 0.3385, 0.1674], [0.6242, 0.2484, 0.6218], [0.0000, 0.0000, 0.5000], [0.3758, 0.7516, 0.3782], [0.3307, 0.6615, 0.8326]]}

---

b | {"formula": "Tb5PmTm5", "functional": "PBE", "state": "optimized geometry", "lattice_angstrom": [[-6.8182, -0.0594, 1.2981], [3.6489, -4.1368, -7.6806], [-3.9866, -4.9373, 5.1076]], "species": ["Tb", "Tb", "Tb", "Tb", "Tb", "Pm", "Tm", "Tm", "Tm", "Tm", "Tm"], "fractional_positions": [[0.8541, 0.6417, 0.1564], [0.7452, 0.6562, 0.6787], [0.5000, 0.0000, 0.0000], [0.2548, 0.3438, 0.3213], [0.1459, 0.3583, 0.8436], [0.0000, 0.0000, 0.0000], [0.6792, 0.2851, 0.3540], [0.6668, 0.3157, 0.7873], [0.0000, 0.0000, 0.5000], [0.3332, 0.6843, 0.2127], [0.3208, 0.7149, 0.6460]]}

---

b takes first place; second place is 133 meV per atom up.

---

a | {"formula": "Tb4PmTm6", "functional": "PBE", "state": "optimized geometry", "lattice_angstrom": [[7.3862, -2.9221, -5.4452], [-5.1142, 7.9337, 1.9094], [-1.8837, 2.9221, 8.9810]], "species": ["Tb", "Tb", "Tb", "Tb", "Pm", "Tm", "Tm", "Tm", "Tm", "Tm", "Tm"], "fractional_positions": [[0.0000, 0.6390, 0.0140], [0.3750, 0.3610, 0.3610], [0.0000, 0.0140, 0.6390], [0.6250, 0.9860, 0.9860], [0.0000, 0.0000, 0.0000], [0.0000, 0.8090, 0.4506], [0.0000, 0.4506, 0.8090], [0.3584, 0.5494, 0.5494], [0.5000, 0.5000, 0.0000], [0.6416, 0.1910, 0.1910], [0.5000, 0.0000, 0.5000]]}

---

b | {"formula": "Tb4PmTm6", "functional": "PBE", "state": "optimized geometry", "lattice_angstrom": [[7.6846, 0.0000, 0.0000], [0.0000, 7.6846, 0.0000], [-3.8423, -3.8423, 6.3932]], "species": ["Tb", "Tb", "Tb", "Tb", "Pm", "Tm", "Tm", "Tm", "Tm", "Tm", "Tm"], "fractional_positions": [[0.0942, 0.7567, 0.8509], [0.9058, 0.9058, 0.1491], [0.7567, 0.0942, 0.8509], [0.2433, 0.2433, 0.1491], [0.5000, 0.5000, 0.0000], [0.9376, 0.4311, 0.3687], [0.4311, 0.9376, 0.3687], [0.5689, 0.5689, 0.6313], [0.0000, 0.5000, 0.0000], [0.0624, 0.0624, 0.6313], [0.5000, 0.0000, 0.0000]]}

---

a takes first place; second place is 149 meV per atom up.

---

a | {"formula": "Tb6Pm2Tm3", "functional": "PBE", "state": "optimized geometry", "lattice_angstrom": [[-0.3644, 1.9608, -4.2844], [-4.7113, -0.0892, 0.3599], [2.7785, 14.1696, 8.8549]], "species": ["Tb", "Tb", "Tb", "Tb", "Tb", "Tb", "Pm", "Pm", "Tm", "Tm", "Tm"], "fractional_positions": [[0.1222, 0.6222, 0.2443], [0.6222, 0.1222, 0.2443], [0.8778, 0.3778, 0.7557], [0.3778, 0.8778, 0.7557], [0.6972, 0.6972, 0.3945], [0.3028, 0.3028, 0.6055], [0.4541, 0.4541, 0.9082], [0.5459, 0.5459, 0.0918], [0.0000, 0.0000, 0.0000], [0.8000, 0.8000, 0.6000], [0.2000, 0.2000, 0.4000]]}

---

b | {"formula": "Tb6Pm2Tm3", "functional": "PBE", "state": "optimized geometry", "lattice_angstrom": [[5.8493, 0.0000, 1.7491], [2.9247, 5.2947, 0.8745], [-1.3150, 0.0000, 11.5788]], "species": ["Tb", "Tb", "Tb", "Tb", "Tb", "Tb", "Pm", "Pm", "Tm", "Tm", "Tm"], "fractional_positions": [[0.4157, 0.6665, 0.7537], [0.7495, 0.0000, 0.7535], [0.0822, 0.3335, 0.7537], [0.2505, 0.0000, 0.2465], [0.5843, 0.3335, 0.2463], [0.9178, 0.6665, 0.2463], [0.1666, 0.6669, 0.5000], [0.8334, 0.3331, 0.5000], [0.0000, 0.0000, 0.0000], [0.3344, 0.3311, 0.0000], [0.6656, 0.6689, 0.0000]]}

---

b takes first place; second place is 101 meV per atom up.

---

a | {"formula": "Tb7Pm2Tm3", "functional": "PBE", "state": "optimized geometry", "lattice_angstrom": [[-2.6268, 2.2824, -0.4941], [-2.2662, -3.6197, -4.6725], [-11.2774, -11.2209, 8.1235]], "species": ["Tb", "Tb", "Tb", "Tb", "Tb", "Tb", "Tb", "Pm", "Pm", "Tm", "Tm", "Tm"], "fractional_positions": [[0.5000, 0.2411, 0.5020], [0.5000, 0.7589, 0.4980], [0.0000, 0.5616, 0.1634], [0.0000, 0.0000, 0.0000], [0.0000, 0.4384, 0.8366], [0.5000, 0.9395, 0.8319], [0.5000, 0.0605, 0.1681], [0.5000, 0.6128, 0.3275], [0.5000, 0.3872, 0.6725], [0.5000, 0.5000, 0.0000], [0.0000, 0.1100, 0.3425], [0.0000, 0.8900, 0.6575]]}

---

b | {"formula": "Tb7Pm2Tm3", "functional": "PBE", "state": "optimized geometry", "lattice_angstrom": [[-2.0826, -2.7049, -1.0930], [1.7197, -3.1490, 4.5162], [-14.5008, 7.4692, 9.1452]], "species": ["Tb", "Tb", "Tb", "Tb", "Tb", "Tb", "Tb", "Pm", "Pm", "Tm", "Tm", "Tm"], "fractional_positions": [[0.5000, 0.7415, 0.4630], [0.5000, 0.2585, 0.5370], [0.0000, 0.6757, 0.1421], [0.0000, 0.0000, 0.0000], [0.0000, 0.3243, 0.8579], [0.5000, 0.8215, 0.8229], [0.5000, 0.1785, 0.1771], [0.5000, 0.7040, 0.2953], [0.5000, 0.2960, 0.7047], [0.5000, 0.5000, 0.0000], [0.0000, 0.2188, 0.3698], [0.0000, 0.7812, 0.6302]]}

---

a takes first place; second place is 14 meV per atom up.

---

a | {"formula": "Tb8PmTm2", "functional": "PBE", "state": "optimized geometry", "lattice_angstrom": [[-3.1673, 4.9320, -0.6362], [-6.3778, 1.3324, -6.2536], [-8.8512, -2.3069, 2.0145]], "species": ["Tb", "Tb", "Tb", "Tb", "Tb", "Tb", "Tb", "Tb", "Pm", "Tm", "Tm"], "fractional_positions": [[0.8109, 0.0981, 0.2445], [0.8109, 0.3426, 0.7555], [0.2917, 0.4358, 0.0000], [0.5000, 0.7950, 0.4099], [0.5000, 0.2050, 0.5901], [0.7083, 0.5642, 0.0000], [0.1891, 0.6574, 0.2445], [0.1891, 0.9019, 0.7555], [0.5000, 0.0000, 0.0000], [0.0000, 0.3105, 0.3791], [0.0000, 0.6895, 0.6209]]}

---

b | {"formula": "Tb8PmTm2", "functional": "PBE", "state": "optimized geometry", "lattice_angstrom": [[5.2874, 0.0000, -1.6055], [-0.9959, 7.3764, -3.2798], [-0.0580, -0.3475, 9.3183]], "species": ["Tb", "Tb", "Tb", "Tb", "Tb", "Tb", "Tb", "Tb", "Pm", "Tm", "Tm"], "fractional_positions": [[0.6387, 0.8446, 0.2774], [0.3615, 0.5671, 0.7229], [0.1642, 0.1644, 0.3284], [0.9999, 0.2953, 0.9999], [0.8358, 0.8356, 0.6716], [0.6385, 0.4329, 0.2771], [0.3613, 0.1554, 0.7226], [0.0001, 0.7047, 0.0001], [0.5000, 0.0000, 0.0000], [0.1996, 0.6995, 0.3993], [0.8004, 0.3005, 0.6007]]}

---

b takes first place; second place is 39 meV per atom up.

---

a | {"formula": "Tb2PmTm2", "functional": "PBE", "state": "optimized geometry", "lattice_angstrom": [[-2.5478, -8.1734, 3.9312], [7.1764, 0.6802, 6.0653], [-2.1455, 1.7930, 2.3375]], "species": ["Tb", "Tb", "Tb", "Tb", "Pm", "Pm", "Tm", "Tm", "Tm", "Tm"], "fractional_positions": [[0.3260, 0.8260, 0.5000], [0.8260, 0.6740, 0.5000], [0.6740, 0.1740, 0.5000], [0.1740, 0.3260, 0.5000], [0.0000, 0.0000, 0.0000], [0.5000, 0.5000, 0.0000], [0.1229, 0.6229, 0.0000], [0.6229, 0.8771, 0.0000], [0.8771, 0.3771, 0.0000], [0.3771, 0.1229, 0.0000]]}

---

b | {"formula": "Tb2PmTm2", "functional": "PBE", "state": "optimized geometry", "lattice_angstrom": [[5.0172, 0.0000, 0.0000], [-2.5086, 5.5585, 0.7249], [0.0000, -1.4459, 11.1322]], "species": ["Tb", "Tb", "Tb", "Tb", "Pm", "Pm", "Tm", "Tm", "Tm", "Tm"], "fractional_positions": [[0.3509, 0.7019, 0.4496], [0.4498, 0.8996, 0.1489], [0.6491, 0.2981, 0.5504], [0.5502, 0.1004, 0.8511], [0.7497, 0.4994, 0.2492], [0.2503, 0.5006, 0.7508], [0.9497, 0.8994, 0.6498], [0.1496, 0.2991, 0.0502], [0.0503, 0.1006, 0.3502], [0.8504, 0.7009, 0.9498]]}

---

b takes first place; second place is 66 meV per atom up.

---

a | {"formula": "Tb5PmTm", "functional": "PBE", "state": "optimized geometry", "lattice_angstrom": [[-9.5535, -1.2752, 4.0682], [2.0136, -5.5749, 2.9810], [4.6643, 5.1624, -0.8797]], "species": ["Tb", "Tb", "Tb", "Tb", "Tb", "Pm", "Tm"], "fractional_positions": [[0.2945, 0.2280, 0.4560], [0.1166, 0.5000, 0.0000], [0.8386, 0.7720, 0.5440], [0.3701, 0.7744, 0.0000], [0.3701, 0.2256, 0.0000], [0.7195, 0.0000, 0.0000], [0.8214, 0.5000, 0.0000]]}

---

b | {"formula": "Tb5PmTm", "functional": "PBE", "state": "optimized geometry", "lattice_angstrom": [[6.2001, 0.1773, 2.7007], [2.3800, 5.7278, 2.7007], [0.9878, 0.6798, 13.5289]], "species": ["Tb", "Tb", "Tb", "Tb", "Tb", "Tb", "Tb", "Tb", "Tb", "Tb", "Pm", "Pm", "Tm", "Tm"], "fractional_positions": [[0.1551, 0.3954, 0.7566], [0.6577, 0.6849, 0.4988], [0.3954, 0.1551, 0.2566], [0.1592, 0.8408, 0.7500], [0.3151, 0.3423, 0.0012], [0.6849, 0.6577, 0.9988], [0.8408, 0.1592, 0.2500], [0.6046, 0.8449, 0.7434], [0.3423, 0.3151, 0.5012], [0.8449, 0.6046, 0.2434], [0.7183, 0.2817, 0.7500], [0.2817, 0.7183, 0.2500], [0.0000, 0.0000, 0.0000], [0.0000, 0.0000, 0.5000]]}

---

b takes first place; second place is 60 meV per atom up.

---

a | {"formula": "Tb2PmTm3", "functional": "PBE", "state": "optimized geometry", "lattice_angstrom": [[3.6197, 0.0000, 0.0000], [0.0000, 11.1334, -1.4779], [-1.8098, -4.3300, 10.0363]], "species": ["Tb", "Tb", "Tb", "Tb", "Pm", "Pm", "Tm", "Tm", "Tm", "Tm", "Tm", "Tm"], "fractional_positions": [[0.2759, 0.6510, 0.5517], [0.7241, 0.3490, 0.4483], [0.9438, 0.8145, 0.8876], [0.0562, 0.1855, 0.1124], [0.3880, 0.0150, 0.7760], [0.6120, 0.9850, 0.2240], [0.2792, 0.1541, 0.5584], [0.0552, 0.6764, 0.1104], [0.3894, 0.5123, 0.7789], [0.7208, 0.8459, 0.4416], [0.6106, 0.4877, 0.2211], [0.9448, 0.3236, 0.8896]]}

---

b | {"formula": "Tb2PmTm3", "functional": "PBE", "state": "optimized geometry", "lattice_angstrom": [[6.1127, 0.1095, -0.1616], [-0.1867, 6.5893, -2.5951], [0.2905, -0.1129, 9.3622]], "species": ["Tb", "Tb", "Tb", "Tb", "Pm", "Pm", "Tm", "Tm", "Tm", "Tm", "Tm", "Tm"], "fractional_positions": [[0.5828, 0.5422, 0.3342], [0.0828, 0.7920, 0.3342], [0.9172, 0.2080, 0.6658], [0.4172, 0.4578, 0.6658], [0.7500, 0.1254, 0.0000], [0.2500, 0.8746, 0.0000], [0.2500, 0.3758, 0.0000], [0.7500, 0.6242, 0.0000], [0.0841, 0.2928, 0.3352], [0.4159, 0.9576, 0.6648], [0.5841, 0.0424, 0.3352], [0.9159, 0.7072, 0.6648]]}

---

a takes first place; second place is 14 meV per atom up.

---

a | {"formula": "Tb2Pm3Tm4", "functional": "PBE", "state": "optimized geometry", "lattice_angstrom": [[5.7713, 1.6084, 1.1515], [2.2105, 10.9520, 0.7147], [2.2105, 4.2055, 10.1376]], "species": ["Tb", "Tb", "Tb", "Tb", "Pm", "Pm", "Pm", "Pm", "Pm", "Pm", "Tm", "Tm", "Tm", "Tm", "Tm", "Tm", "Tm", "Tm"], "fractional_positions": [[0.4294, 0.2738, 0.5108], [0.0706, 0.4892, 0.7262], [0.5706, 0.7262, 0.4892], [0.9294, 0.5108, 0.2738], [0.7566, 0.0177, 0.3115], [0.7434, 0.6885, 0.9823], [0.2434, 0.9823, 0.6885], [0.2566, 0.3115, 0.0177], [0.2500, 0.6434, 0.3566], [0.7500, 0.3566, 0.6434], [0.4221, 0.9452, 0.1741], [0.0779, 0.8259, 0.0548], [0.5779, 0.0548, 0.8259], [0.9221, 0.1741, 0.9452], [0.0898, 0.1548, 0.3848], [0.4102, 0.6152, 0.8452], [0.9102, 0.8452, 0.6152], [0.5898, 0.3848, 0.1548]]}

---

b | {"formula": "Tb2Pm3Tm4", "functional": "PBE", "state": "optimized geometry", "lattice_angstrom": [[3.4859, 0.0000, 0.0000], [-1.7428, 8.6515, -1.5157], [0.0000, 3.0146, 9.1937]], "species": ["Tb", "Tb", "Pm", "Pm", "Pm", "Tm", "Tm", "Tm", "Tm"], "fractional_positions": [[0.6712, 0.3423, 0.4615], [0.3288, 0.6577, 0.5385], [0.8362, 0.6724, 0.2221], [0.1638, 0.3276, 0.7779], [0.0000, 0.0000, 0.0000], [0.8261, 0.6522, 0.8627], [0.1739, 0.3478, 0.1373], [0.5046, 0.0092, 0.3149], [0.4954, 0.9908, 0.6851]]}

---

a takes first place; second place is 47 meV per atom up.

---

a | {"formula": "Tb2Pm2Tm", "functional": "PBE", "state": "optimized geometry", "lattice_angstrom": [[-2.8284, 5.3981, 0.6771], [-9.7497, -1.6373, 0.0909], [-6.3318, -0.5691, 5.8515]], "species": ["Tb", "Tb", "Tb", "Tb", "Pm", "Pm", "Pm", "Pm", "Tm", "Tm"], "fractional_positions": [[0.8258, 0.1463, 0.0433], [0.0154, 0.3537, 0.4567], [0.1742, 0.8537, 0.9567], [0.9846, 0.6463, 0.5433], [0.7498, 0.9211, 0.6884], [0.3592, 0.5789, 0.8116], [0.2502, 0.0789, 0.3116], [0.6408, 0.4211, 0.1884], [0.5737, 0.7500, 0.2500], [0.4263, 0.2500, 0.7500]]}

---

b | {"formula": "Tb2Pm2Tm", "functional": "PBE", "state": "optimized geometry", "lattice_angstrom": [[5.7205, 0.0000, 0.0000], [0.0000, 3.5978, 0.0000], [-2.8603, -1.7989, 16.0017]], "species": ["Tb", "Tb", "Tb", "Tb", "Pm", "Pm", "Pm", "Pm", "Tm", "Tm"], "fractional_positions": [[0.7293, 0.9793, 0.4585], [0.2707, 0.0207, 0.5415], [0.3679, 0.1179, 0.7357], [0.6321, 0.8821, 0.2643], [0.5437, 0.2937, 0.0873], [0.9401, 0.1901, 0.8802], [0.4563, 0.7063, 0.9127], [0.0599, 0.8099, 0.1198], [0.8262, 0.5762, 0.6524], [0.1738, 0.4238, 0.3476]]}

---

a takes first place; second place is 73 meV per atom up.